(1)
Entry from Alexandria via LeMat-Bulk: a crystal of YCo2Hg relaxed with PBEsol (meta-GGA SCAN).

Output
**SG**: I-4m2, No. 119

Cell lengths 5.1184, 5.1184, 5.1184 Å; angles 135.78, 135.78, 64.32 degrees
Closest atoms and distances in Å follow each position.
Fractional positions:
Y 0.0000 0.0000 0.0000  8 Co 2.72-2.90, 4 Hg 2.90
Co 0.5000 0.5000 0.0000  4 Y 2.72, 4 Hg 2.90, 4 Co 2.90
Co 0.7500 0.2500 0.5000  4 Hg 2.72, 4 Co 2.90, 4 Y 2.90
Hg 0.2500 0.7500 0.5000  8 Co 2.72-2.90, 4 Y 2.90

---

(2)
Entry from Alexandria via LeMat-Bulk: a crystal of Y2Co2Hg relaxed with PBEsol (meta-GGA SCAN).

Output
**SG**: I4/mmm, No. 139

Cell lengths 9.2077, 9.2077, 9.2077 Å; angles 159.19, 159.19, 29.59 degrees
Closest atoms and distances in Å follow each position.
Fractional positions:
Y 0.1213 0.1213 0.0000  4 Co 2.83
Y 0.8787 0.8787 0.0000  4 Co 2.83
Co 0.2500 0.7500 0.5000  4 Co 2.35
Co 0.7500 0.2500 0.5000  4 Co 2.35
Hg 0.5000 0.5000 0.0000  8 Y 3.19, 4 Hg 3.33

---

| no. | N(E_F) (states/eV per atom) | total DFT energy (no corrections) (eV/atom) | ΔE_f (eV/atom) |
| --- | --- | --- | --- |
| 1 | 0.461 | -32.56 | 0.092 |
| 2 | 0.691 | -31.85 | -0.161 |